Record 1
Mg2SnSeF: relaxed, PBE.

The structure in POSCAR format:
```
Mg2SnSeF
1.0
5.033 0.000 0.000
0.000 5.033 0.000
0.000 0.000 5.930
Mg Sn Se F
2 1 1 1
Direct
0.000 0.500 0.000
0.500 0.000 0.000
0.000 0.000 0.500
0.000 0.000 0.000
0.500 0.500 0.500
```

Computed properties:
Calculated total energy in eV per atom: -2.6649
Mass density in g/cm3: 2.93
Density of states at the Fermi level in states/eV/atom: 0.6777
Size of the total moment in μB per atom: 0.000

***

Record 2
MgTa2SeF: relaxed, PBE.

The structure in POSCAR format:
```
MgTa2SeF
1.0
4.915 0.000 0.000
0.000 4.915 0.000
0.000 0.000 4.702
Mg Ta Se F
1 2 1 1
Direct
0.000 0.000 0.000
0.000 0.500 0.000
0.500 0.000 0.000
0.000 0.000 0.500
0.500 0.500 0.500
```

Computed properties:
Calculated total energy in eV per atom: -4.5280
Mass density in g/cm3: 7.08
Density of states at the Fermi level in states/eV/atom: 1.1356
Size of the total moment in μB per atom: 0.157

***

Record 3
MgSi2F8: relaxed, PBE.

The structure in POSCAR format:
```
MgSi2F8
1.0
6.024 -2.476 0.000
6.024 2.476 0.000
-0.022 0.000 4.964
Mg Si F
1 2 8
Direct
0.000 0.000 0.000
0.183 0.183 0.391
0.817 0.817 0.609
0.110 0.110 0.690
0.137 0.666 0.756
0.280 0.280 0.161
0.334 0.863 0.244
0.666 0.137 0.756
0.720 0.720 0.839
0.863 0.334 0.244
0.890 0.890 0.310
```

Computed properties:
Calculated total energy in eV per atom: -5.2229
Mass density in g/cm3: 2.61
Size of the total moment in μB per atom: 0.000

***

Record 4
MgSi2F4: relaxed, PBE.

The structure in POSCAR format:
```
MgSi2F4
1.0
3.737 0.000 0.000
0.000 3.737 0.000
0.000 0.000 17.018
Mg Si F
2 4 8
Direct
0.000 0.000 0.000
0.500 0.500 0.500
0.000 0.000 0.235
0.000 0.000 0.765
0.500 0.500 0.265
0.500 0.500 0.735
0.000 0.000 0.139
0.000 0.000 0.861
0.000 0.500 0.000
0.000 0.500 0.500
0.500 0.000 0.000
0.500 0.000 0.500
0.500 0.500 0.361
0.500 0.500 0.639
```

Computed properties:
Calculated total energy in eV per atom: -5.0742
Mass density in g/cm3: 2.19
Density of states at the Fermi level in states/eV/atom: 0.3830
Size of the total moment in μB per atom: 0.000

***

Record 5
MgSiF: relaxed, PBE.

The structure in POSCAR format:
```
MgSiF
1.0
1.846 1.066 7.627
-1.846 1.066 7.627
0.000 -2.132 7.627
Mg Si F
2 2 2
Direct
0.227 0.227 0.227
0.773 0.773 0.773
0.355 0.355 0.355
0.645 0.645 0.645
0.135 0.135 0.135
0.865 0.865 0.865
```

Computed properties:
Calculated total energy in eV per atom: -4.5991
Mass density in g/cm3: 2.63
Size of the total moment in μB per atom: 0.000

***

Record 6
Mg2SiF: relaxed, PBE.

The structure in POSCAR format:
```
Mg2SiF
1.0
6.453 0.000 0.000
0.000 6.453 0.000
0.000 0.000 6.453
Mg Si F
8 4 4
Direct
0.250 0.250 0.250
0.250 0.250 0.750
0.250 0.750 0.250
0.250 0.750 0.750
0.750 0.250 0.250
0.750 0.250 0.750
0.750 0.750 0.250
0.750 0.750 0.750
0.000 0.000 0.000
0.000 0.500 0.500
0.500 0.000 0.500
0.500 0.500 0.000
0.000 0.000 0.500
0.000 0.500 0.000
0.500 0.000 0.000
0.500 0.500 0.500
```

Computed properties:
Calculated total energy in eV per atom: -3.3079
Mass density in g/cm3: 2.37
Density of states at the Fermi level in states/eV/atom: 1.2759
Size of the total moment in μB per atom: 0.136

***

Record 7
MgSiF: relaxed, PBE.

The structure in POSCAR format:
```
MgSiF
1.0
3.597 0.000 0.000
0.000 3.597 0.000
0.000 0.000 6.698
Mg Si F
2 2 2
Direct
0.250 0.250 0.173
0.750 0.750 0.827
0.250 0.750 0.500
0.750 0.250 0.500
0.250 0.750 0.000
0.750 0.250 0.000
```

Computed properties:
Calculated total energy in eV per atom: -4.5568
Mass density in g/cm3: 2.74
Density of states at the Fermi level in states/eV/atom: 0.2251
Size of the total moment in μB per atom: 0.000

***

Record 8
MgSi2F: relaxed, PBE.

The structure in POSCAR format:
```
MgSi2F
1.0
6.323 0.000 0.000
0.000 6.323 0.000
0.000 0.000 6.323
Mg Si F
4 8 4
Direct
0.000 0.000 0.000
0.000 0.500 0.500
0.500 0.000 0.500
0.500 0.500 0.000
0.250 0.250 0.250
0.250 0.250 0.750
0.250 0.750 0.250
0.250 0.750 0.750
0.750 0.250 0.250
0.750 0.250 0.750
0.750 0.750 0.250
0.750 0.750 0.750
0.000 0.000 0.500
0.000 0.500 0.000
0.500 0.000 0.000
0.500 0.500 0.500
```

Computed properties:
Calculated total energy in eV per atom: -3.5941
Mass density in g/cm3: 2.61
Density of states at the Fermi level in states/eV/atom: 0.6051
Size of the total moment in μB per atom: 0.000

***

Record 9
MgSiF: relaxed, PBE.

The structure in POSCAR format:
```
MgSiF
1.0
3.595 0.000 0.000
0.000 3.595 0.000
0.000 0.000 13.431
Mg Si F
4 4 4
Direct
0.000 0.000 0.164
0.000 0.000 0.836
0.500 0.500 0.336
0.500 0.500 0.664
0.000 0.500 0.000
0.000 0.500 0.500
0.500 0.000 0.000
0.500 0.000 0.500
0.000 0.500 0.250
0.000 0.500 0.750
0.500 0.000 0.250
0.500 0.000 0.750
```

Computed properties:
Calculated total energy in eV per atom: -4.5529
Mass density in g/cm3: 2.73
Density of states at the Fermi level in states/eV/atom: 0.2805
Size of the total moment in μB per atom: 0.000

***

Record 10
Mg2SiF8: relaxed, PBE.

The structure in POSCAR format:
```
Mg2SiF8
1.0
4.410 -3.236 0.000
4.410 3.236 0.000
-0.102 0.000 4.205
Mg Si F
2 1 8
Direct
0.125 0.125 0.254
0.875 0.875 0.746
0.500 0.500 0.000
0.102 0.102 0.745
0.220 0.597 0.781
0.348 0.348 0.246
0.403 0.780 0.219
0.597 0.220 0.781
0.652 0.652 0.754
0.780 0.403 0.219
0.898 0.898 0.255
```

Computed properties:
Calculated total energy in eV per atom: -5.4366
Mass density in g/cm3: 3.16
Density of states at the Fermi level in states/eV/atom: 0.0000
Size of the total moment in μB per atom: 0.000

***

Record 11
Mg3SiF: relaxed, PBE.

The structure in POSCAR format:
```
Mg3SiF
1.0
4.399 0.000 0.000
0.000 4.399 0.000
0.000 0.000 4.399
Mg Si F
3 1 1
Direct
0.000 0.000 0.500
0.000 0.500 0.000
0.500 0.000 0.000
0.500 0.500 0.500
0.000 0.000 0.000
```

Computed properties:
Calculated total energy in eV per atom: -3.1484
Mass density in g/cm3: 2.34
Density of states at the Fermi level in states/eV/atom: 0.2100
Size of the total moment in μB per atom: 0.000

***

Record 12
MgSiF6: relaxed, PBE.

The structure in POSCAR format:
```
MgSiF6
1.0
4.854 0.000 0.000
-2.427 4.204 0.000
0.000 0.000 8.880
Mg Si F
2 2 12
Direct
0.333 0.667 0.250
0.667 0.333 0.750
0.000 0.000 0.000
0.000 0.000 0.500
0.041 0.307 0.112
0.041 0.734 0.388
0.266 0.307 0.388
0.266 0.959 0.112
0.307 0.041 0.612
0.307 0.266 0.888
0.693 0.734 0.112
0.693 0.959 0.388
0.734 0.041 0.888
0.734 0.693 0.612
0.959 0.266 0.612
0.959 0.693 0.888
```

Computed properties:
Calculated total energy in eV per atom: -5.5718
Mass density in g/cm3: 3.05
Density of states at the Fermi level in states/eV/atom: 0.0000
Size of the total moment in μB per atom: 0.000

***

- Which formula does entry 2 have?
  MgTa2SeF

***

Copy entry 11 word for word.
Mg3SiF: relaxed, PBE.

The structure in POSCAR format:
```
Mg3SiF
1.0
4.399 0.000 0.000
0.000 4.399 0.000
0.000 0.000 4.399
Mg Si F
3 1 1
Direct
0.000 0.000 0.500
0.000 0.500 0.000
0.500 0.000 0.000
0.500 0.500 0.500
0.000 0.000 0.000
```

Computed properties:
Calculated total energy in eV per atom: -3.1484
Mass density in g/cm3: 2.34
Density of states at the Fermi level in states/eV/atom: 0.2100
Size of the total moment in μB per atom: 0.000